(1)
## Mg2Sb3O8 (GGA-PBE)

Data for a relaxed Mg2Sb3O8 crystal.

POSCAR file:
```
Mg2Sb3O8
1.0
6.538 0.000 0.000
-3.269 5.662 0.000
0.000 0.000 9.522
Mg Sb O
4 6 16
Direct
0.333 0.667 0.000
0.333 0.667 0.369
0.667 0.333 0.500
0.667 0.333 0.869
0.166 0.332 0.712
0.166 0.834 0.712
0.332 0.166 0.212
0.668 0.834 0.712
0.834 0.166 0.212
0.834 0.668 0.212
0.000 0.000 0.319
0.000 0.000 0.819
0.037 0.519 0.847
0.172 0.343 0.118
0.172 0.828 0.118
0.333 0.667 0.585
0.343 0.172 0.618
0.481 0.519 0.847
0.481 0.963 0.847
0.519 0.037 0.347
0.519 0.481 0.347
0.657 0.828 0.118
0.667 0.333 0.085
0.828 0.172 0.618
0.828 0.657 0.618
0.963 0.481 0.347
```

Summary:
Symmetry: No. 186
Calculated density, g cm⁻³: 5.1
VASP energy, eV for the cell shown: -151.2
Energy relative to the elements, uncorrected, eV/atom: -1.569
Excess energy over the best structure of this formula in the dataset, kJ/mol of formula units: 7
Calculated volume, Å³/f.u.: 176.3

(2)
## Zn2CrRe (GGA-PBE)

Data for a relaxed Zn2CrRe crystal.

POSCAR file:
```
Zn2CrRe
1.0
1.482 -2.191 0.000
1.482 2.191 0.000
0.000 0.000 8.694
Zn Cr Re
2 1 1
Direct
0.000 0.000 0.000
0.500 0.500 0.261
0.500 0.500 0.755
0.000 0.000 0.525
```

Summary:
Symmetry: No. 35
Calculated density, g cm⁻³: 10.9
VASP energy, eV for the cell shown: -24.0
Excess energy over the best structure of this formula in the dataset, kJ/mol of formula units: 17
Formation energy from the elements, meV per atom: 154
Calculated volume, Å³/f.u.: 56.5

(3)
## Pu4Cu2Pd5 (GGA-PBE)

Data for a relaxed Pu4Cu2Pd5 crystal.

POSCAR file:
```
Pu4Cu2Pd5
1.0
-4.392 9.135 2.706
4.392 -9.135 2.706
4.392 9.135 -2.706
Pu Cu Pd
8 4 10
Direct
0.059 0.714 0.773
0.148 0.103 0.251
0.352 0.603 0.954
0.441 0.214 0.654
0.559 0.786 0.346
0.648 0.397 0.046
0.852 0.897 0.749
0.941 0.286 0.227
0.041 0.750 0.291
0.459 0.750 0.709
0.541 0.250 0.291
0.959 0.250 0.709
0.094 0.401 0.495
0.215 0.785 0.000
0.250 0.250 0.000
0.285 0.285 0.570
0.406 0.901 0.307
0.594 0.099 0.693
0.715 0.715 0.430
0.750 0.750 0.000
0.785 0.215 0.000
0.906 0.599 0.505
```

Summary:
Symmetry: No. 72
Calculated density, g cm⁻³: 12.5
VASP energy, eV for the cell shown: -189.5
Formation energy from the elements, meV per atom: -299
Calculated volume, Å³/f.u.: 217.1

(4)
## InCuTe2 (GGA-PBE)

Data for a relaxed InCuTe2 crystal.

POSCAR file:
```
InCuTe2
1.0
3.951 0.000 0.000
0.000 3.951 0.000
0.000 0.000 7.027
In Cu Te
1 1 2
Direct
0.000 0.000 0.000
0.500 0.500 0.531
0.000 0.000 0.594
0.500 0.500 0.153
```

Summary:
Symmetry: No. 99
Calculated density, g cm⁻³: 6.6
VASP energy, eV for the cell shown: -13.5
Energy relative to the elements, uncorrected, eV/atom: -0.093
Calculated volume, Å³/f.u.: 109.7